Below is a relaxed structure of CsAcGaO4, with properties calculated at the PBE level.

Output
**N(E_F)**: 11.6 states/eV/cell
**Calculated total energy**: -84.5 eV for the cell shown
**Symmetry**: P2_1/m, No. 11

The structure in CIF format:
```
data_CsAcGaO4
_space_group_name_H-M_alt 'P 1'
_space_group_IT_number 1
_cell_length_a 6.252
_cell_length_b 6.005
_cell_length_c 8.298
_cell_angle_alpha 90.00
_cell_angle_beta 106.22
_cell_angle_gamma 90.00
loop_
_space_group_symop_operation_xyz
'x,y,z'
loop_
_atom_site_label
_atom_site_fract_x
_atom_site_fract_y
_atom_site_fract_z
O1 0.043 0.515 0.324
O2 0.564 0.250 0.801
O3 0.566 0.250 0.448
O4 0.434 0.750 0.552
O5 0.436 0.750 0.199
O6 0.957 0.015 0.676
O7 0.957 0.485 0.676
O8 0.043 0.985 0.324
Ac1 0.778 0.750 0.448
Ac2 0.222 0.250 0.552
Ga1 0.759 0.250 0.670
Ga2 0.241 0.750 0.330
Cs1 0.700 0.750 0.927
Cs2 0.300 0.250 0.073
```



Below is a relaxed structure of Cs2AcGaS4, with properties calculated at the PBE level.

Output
**Calculated total energy**: -69.3 eV for the cell shown
**Symmetry**: C2/c, No. 15

The structure in CIF format:
```
data_Cs2AcGaS4
_space_group_name_H-M_alt 'P 1'
_space_group_IT_number 1
_cell_length_a 8.746
_cell_length_b 8.746
_cell_length_c 8.992
_cell_angle_alpha 113.59
_cell_angle_beta 113.59
_cell_angle_gamma 92.70
loop_
_space_group_symop_operation_xyz
'x,y,z'
loop_
_atom_site_label
_atom_site_fract_x
_atom_site_fract_y
_atom_site_fract_z
S1 0.785 0.325 0.594
S2 0.825 0.285 0.094
S3 0.175 0.715 0.906
S4 0.847 0.829 0.039
S5 0.329 0.347 0.539
S6 0.153 0.171 0.961
S7 0.215 0.675 0.406
S8 0.671 0.653 0.461
Ac1 0.000 0.500 0.500
Ac2 0.000 0.500 0.000
Cs1 0.500 0.500 0.000
Cs2 0.000 0.000 0.500
Cs3 0.500 0.000 0.500
Cs4 0.500 0.000 0.000
Ga1 0.500 0.500 0.500
Ga2 0.000 0.000 0.000
```



Below is a relaxed structure of Cs2AcGa2S6, with properties calculated at the PBE level.

Output
**N(E_F)**: 8.1 states/eV/cell
**Calculated total energy**: -48.1 eV for the cell shown
**Symmetry**: R-3m, No. 166

The structure in CIF format:
```
data_Cs2AcGa2S6
_space_group_name_H-M_alt 'P 1'
_space_group_IT_number 1
_cell_length_a 7.490
_cell_length_b 7.490
_cell_length_c 9.254
_cell_angle_alpha 66.13
_cell_angle_beta 66.13
_cell_angle_gamma 60.00
loop_
_space_group_symop_operation_xyz
'x,y,z'
loop_
_atom_site_label
_atom_site_fract_x
_atom_site_fract_y
_atom_site_fract_z
Ac1 0.000 0.000 0.000
Ga1 0.588 0.588 0.235
Ga2 0.412 0.412 0.765
Cs1 0.209 0.209 0.373
Cs2 0.791 0.791 0.627
S1 0.754 0.248 0.749
S2 0.752 0.752 0.251
S3 0.752 0.246 0.251
S4 0.248 0.754 0.749
S5 0.246 0.752 0.251
S6 0.248 0.248 0.749
```



Below is a relaxed structure of Cs2AcGaSe4, with properties calculated at the PBE level.

Output
**Calculated total energy**: -63.4 eV for the cell shown
**Symmetry**: C2/c, No. 15

The structure in CIF format:
```
data_Cs2AcGaSe4
_space_group_name_H-M_alt 'P 1'
_space_group_IT_number 1
_cell_length_a 9.179
_cell_length_b 9.179
_cell_length_c 9.357
_cell_angle_alpha 115.31
_cell_angle_beta 115.31
_cell_angle_gamma 92.53
loop_
_space_group_symop_operation_xyz
'x,y,z'
loop_
_atom_site_label
_atom_site_fract_x
_atom_site_fract_y
_atom_site_fract_z
Se1 0.321 0.338 0.528
Se2 0.185 0.720 0.924
Se3 0.162 0.179 0.972
Se4 0.679 0.662 0.472
Se5 0.815 0.280 0.076
Se6 0.780 0.315 0.576
Se7 0.220 0.685 0.424
Se8 0.838 0.821 0.028
Ga1 0.500 0.500 0.500
Ga2 0.000 0.000 0.000
Ac1 0.000 0.500 0.000
Ac2 0.000 0.500 0.500
Cs1 0.500 0.500 0.000
Cs2 0.500 0.000 0.500
Cs3 0.500 0.000 0.000
Cs4 0.000 0.000 0.500
```